DFT (GGA-PBE) results for an optimized crystal structure of CePrSm6Ho2.

For the formation energy, the calculation gives 0.244 eV/atom. As for the space group: No. 12.

a = 8.986 Å, b = 6.847 Å, c = 6.657 Å
α = 120.95°, β = 102.14°, γ = 90.00°
Sites, in units of the cell vectors:
1 Sm 0.196 0.069 0.662
2 Sm 0.804 0.408 0.338
3 Ce 0.000 0.500 0.000
4 Ho 0.839 0.909 0.818
5 Sm 0.416 0.630 0.260
6 Pr 0.500 0.000 0.000
7 Sm 0.584 0.370 0.740
8 Sm 0.196 0.592 0.662
9 Ho 0.161 0.091 0.182
10 Sm 0.804 0.931 0.338

---

DFT (GGA-PBE) results for an optimized crystal structure of CaAs2Se.

As for the space group: No. 10. The calculation puts the uncorrected formation energy at -200 kJ/mol of formula units.

a = 4.067 Å, b = 4.510 Å, c = 5.728 Å
α = 69.48°, β = 90.00°, γ = 90.00°
Sites, in units of the cell vectors:
1 Se 0.500 0.750 0.750
2 As 0.000 0.590 0.469
3 Ca 0.500 0.250 0.250
4 As 0.000 0.910 0.031

---

DFT (GGA-PBE) results for an optimized crystal structure of CdIn6Pb12.

For the formation energy, the calculation gives 0.022 eV/atom. As for the space group: No. 148. As for the energy above the lowest structure with this stoichiometry: 0.09 eV per formula unit.

a = 8.761 Å, b = 9.152 Å, c = 9.152 Å
α = 69.68°, β = 71.39°, γ = 108.61°
Sites, in units of the cell vectors:
1 Pb 0.106 0.368 0.048
2 Pb 0.738 0.584 0.368
3 In 0.370 0.791 0.682
4 Pb 0.683 0.889 0.842
5 Pb 0.262 0.416 0.632
6 In 0.630 0.209 0.318
7 In 0.947 0.318 0.474
8 In 0.421 0.474 0.209
9 Pb 0.794 0.270 0.889
10 Pb 0.206 0.730 0.111
11 Pb 0.894 0.632 0.952
12 In 0.053 0.682 0.526
13 Pb 0.475 0.158 0.730
14 Pb 0.317 0.111 0.158
15 Pb 0.845 0.952 0.416
16 Pb 0.525 0.842 0.270
17 In 0.579 0.526 0.791
18 Pb 0.155 0.048 0.584
19 Cd 0.000 0.000 0.000

---

DFT (GGA-PBE) results for an optimized crystal structure of Tc2AsPb.

For the formation energy, the calculation gives 0.339 eV/atom. As for the space group: No. 123. As for the energy above the lowest structure with this stoichiometry: 0.81 eV per formula unit.

a = 3.163 Å, b = 3.163 Å, c = 6.760 Å
α = 90.00°, β = 90.00°, γ = 90.00°
Sites, in units of the cell vectors:
1 Tc 0.000 0.000 0.459
2 Pb 0.500 0.500 0.750
3 As 0.500 0.500 0.250
4 Tc 0.000 0.000 0.041

---

DFT (GGA-PBE) results for an optimized crystal structure of SrMnCuAs2.

For the formation energy, the calculation gives -0.566 eV/atom. As for the space group: No. 119. As for the energy above the lowest structure with this stoichiometry: 0.00 eV per formula unit.

a = 4.094 Å, b = 4.094 Å, c = 6.766 Å
α = 107.61°, β = 107.61°, γ = 90.00°
Sites, in units of the cell vectors:
1 As 0.633 0.633 0.267
2 Sr 0.000 0.000 0.000
3 As 0.367 0.367 0.733
4 Cu 0.750 0.250 0.500
5 Mn 0.250 0.750 0.500

---

DFT (GGA-PBE) results for an optimized crystal structure of Fe4C3.

For the formation energy, the calculation gives 0.492 eV/atom. As for the space group: No. 221.

a = 3.963 Å, b = 3.963 Å, c = 3.963 Å
α = 90.00°, β = 90.00°, γ = 90.00°
Sites, in units of the cell vectors:
1 C 0.000 0.000 0.500
2 Fe 0.000 0.500 0.500
3 Fe 0.500 0.000 0.500
4 C 0.500 0.000 0.000
5 C 0.000 0.500 0.000
6 Fe 0.500 0.500 0.000
7 Fe 0.000 0.000 0.000

---

DFT (GGA-PBE) results for an optimized crystal structure of YTc2W.

For the formation energy, the calculation gives 0.336 eV/atom. As for the space group: No. 216.

a = 4.590 Å, b = 4.590 Å, c = 4.590 Å
α = 60.00°, β = 60.00°, γ = 60.00°
Sites, in units of the cell vectors:
1 Tc 0.000 0.000 0.000
2 W 0.500 0.500 0.500
3 Tc 0.250 0.250 0.250
4 Y 0.750 0.750 0.750

---

DFT (GGA-PBE) results for an optimized crystal structure of Mo3Pb.

For the formation energy, the calculation gives 0.443 eV/atom. As for the space group: No. 194.

a = 5.916 Å, b = 5.916 Å, c = 4.707 Å
α = 90.00°, β = 90.00°, γ = 120.00°
Sites, in units of the cell vectors:
1 Mo 0.151 0.849 0.750
2 Pb 0.333 0.667 0.250
3 Pb 0.667 0.333 0.750
4 Mo 0.151 0.301 0.750
5 Mo 0.301 0.151 0.250
6 Mo 0.849 0.151 0.250
7 Mo 0.849 0.699 0.250
8 Mo 0.699 0.849 0.750

---

DFT (GGA-PBE) results for an optimized crystal structure of DyPuIrOs.

For the formation energy, the calculation gives -0.292 eV/atom. As for the space group: No. 216.

a = 4.823 Å, b = 4.823 Å, c = 4.823 Å
α = 60.00°, β = 60.00°, γ = 60.00°
Sites, in units of the cell vectors:
1 Dy 0.000 0.000 0.000
2 Os 0.250 0.250 0.250
3 Pu 0.500 0.500 0.500
4 Ir 0.750 0.750 0.750

---

DFT (GGA-PBE) results for an optimized crystal structure of Ir8Os2Rh.

For the formation energy, the calculation gives 0.180 eV/atom. As for the space group: No. 71.

a = 3.836 Å, b = 7.606 Å, c = 7.165 Å
α = 122.06°, β = 105.53°, γ = 90.00°
Sites, in units of the cell vectors:
1 Ir 0.827 0.827 0.654
2 Ir 0.663 0.419 0.325
3 Rh 0.500 0.000 0.000
4 Os 0.831 0.331 0.661
5 Ir 0.663 0.906 0.325
6 Ir 0.000 0.257 0.000
7 Ir 0.173 0.173 0.346
8 Os 0.169 0.669 0.339
9 Ir 0.337 0.581 0.675
10 Ir 0.337 0.094 0.675
11 Ir 0.000 0.743 0.000

---

DFT (GGA-PBE) results for an optimized crystal structure of RbCd2Hg.

For the formation energy, the calculation gives -0.062 eV/atom. As for the space group: No. 129.

a = 4.739 Å, b = 4.739 Å, c = 12.129 Å
α = 90.00°, β = 90.00°, γ = 90.00°
Sites, in units of the cell vectors:
1 Rb 0.000 0.500 0.771
2 Cd 0.500 0.000 0.933
3 Hg 0.000 0.500 0.341
4 Cd 0.500 0.500 0.500
5 Hg 0.500 0.000 0.659
6 Cd 0.000 0.500 0.067
7 Cd 0.000 0.000 0.500
8 Rb 0.500 0.000 0.229

---

DFT (GGA-PBE) results for an optimized crystal structure of PmScZnIn.

For the formation energy, the calculation gives -0.408 eV/atom. As for the space group: No. 99. As for the energy above the lowest structure with this stoichiometry: 0.00 eV per formula unit.

a = 3.570 Å, b = 3.570 Å, c = 7.352 Å
α = 90.00°, β = 90.00°, γ = 90.00°
Sites, in units of the cell vectors:
1 Pm 0.500 0.500 0.124
2 Zn 0.000 0.000 0.391
3 Sc 0.500 0.500 0.584
4 In 0.000 0.000 0.828

---

DFT (GGA-PBE) results for an optimized crystal structure of ZnCd2Ga6.

For the formation energy, the calculation gives 0.093 eV/atom. As for the space group: No. 162. As for the energy above the lowest structure with this stoichiometry: 0.40 eV per formula unit.

a = 3.249 Å, b = 8.059 Å, c = 8.059 Å
α = 120.00°, β = 90.00°, γ = 90.00°
Sites, in units of the cell vectors:
1 Ga 0.214 0.000 0.322
2 Ga 0.786 0.678 0.000
3 Ga 0.214 0.322 0.000
4 Cd 0.500 0.667 0.333
5 Ga 0.214 0.678 0.678
6 Zn 0.000 0.000 0.000
7 Ga 0.786 0.000 0.678
8 Cd 0.500 0.333 0.667
9 Ga 0.786 0.322 0.322

---

DFT (GGA-PBE) results for an optimized crystal structure of Pm3HoIn.

For the formation energy, the calculation gives -0.190 eV/atom. As for the space group: No. 63. As for the energy above the lowest structure with this stoichiometry: 0.00 eV per formula unit.

a = 4.895 Å, b = 4.902 Å, c = 12.994 Å
α = 90.00°, β = 79.14°, γ = 90.00°
Sites, in units of the cell vectors:
1 Ho 0.475 0.750 0.698
2 Ho 0.173 0.250 0.302
3 Pm 0.075 0.750 0.498
4 In 0.671 0.750 0.307
5 Pm 0.270 0.750 0.108
6 Pm 0.771 0.250 0.106
7 Pm 0.877 0.750 0.894
8 In 0.977 0.250 0.693
9 Pm 0.378 0.250 0.892
10 Pm 0.573 0.250 0.502

---

DFT (GGA-PBE) results for an optimized crystal structure of IrAuSe2.

As for the space group: No. 33. The calculation puts the uncorrected formation energy at 31 kJ/mol of formula units.

a = 6.461 Å, b = 9.060 Å, c = 6.136 Å
α = 90.00°, β = 90.00°, γ = 90.00°
Sites, in units of the cell vectors:
1 Se 0.134 0.338 0.598
2 Ir 0.991 0.099 0.503
3 Se 0.479 0.344 0.121
4 Au 0.875 0.540 0.528
5 Au 0.625 0.040 0.028
6 Se 0.521 0.656 0.621
7 Ir 0.491 0.401 0.503
8 Se 0.634 0.162 0.598
9 Se 0.366 0.838 0.098
10 Ir 0.509 0.599 0.003
11 Au 0.375 0.960 0.528
12 Au 0.125 0.460 0.028
13 Se 0.979 0.156 0.121
14 Se 0.866 0.662 0.098
15 Ir 0.009 0.901 0.003
16 Se 0.021 0.844 0.621

---

DFT (GGA-PBE) results for an optimized crystal structure of ThMoAs2.

For the formation energy, the calculation gives -0.053 eV/atom. As for the space group: No. 166.

a = 3.245 Å, b = 3.245 Å, c = 9.985 Å
α = 80.65°, β = 80.65°, γ = 60.00°
Sites, in units of the cell vectors:
1 Mo 0.500 0.500 0.500
2 Th 0.000 0.000 0.000
3 As 0.106 0.106 0.683
4 As 0.894 0.894 0.317

---

DFT (GGA-PBE) results for an optimized crystal structure of Sn2RhAu.

For the formation energy, the calculation gives -0.155 eV/atom. As for the space group: No. 160. As for the energy above the lowest structure with this stoichiometry: 0.00 eV per formula unit.

a = 3.862 Å, b = 3.862 Å, c = 7.067 Å
α = 74.14°, β = 74.14°, γ = 60.00°
Sites, in units of the cell vectors:
1 Sn 0.077 0.077 0.769
2 Sn 0.259 0.259 0.224
3 Au 0.502 0.502 0.493
4 Rh 0.662 0.662 0.014

---

DFT (GGA-PBE) results for an optimized crystal structure of Cs2TlRuO4.

As for the space group: No. 70. The calculation puts the uncorrected formation energy at -718 kJ/mol of formula units.

a = 6.659 Å, b = 7.316 Å, c = 11.726 Å
α = 82.57°, β = 73.50°, γ = 62.93°
Sites, in units of the cell vectors:
1 O 0.256 0.180 0.934
2 Cs 0.187 0.000 0.627
3 O 0.494 0.320 0.566
4 O 0.187 0.320 0.434
5 O 0.941 0.680 0.566
6 O 0.379 0.680 0.434
7 Cs 0.813 0.000 0.373
8 O 0.371 0.820 0.066
9 Tl 0.750 0.500 0.500
10 Cs 0.937 0.500 0.127
11 Tl 0.000 0.000 0.000
12 Ru 0.250 0.500 0.500
13 O 0.563 0.180 0.066
14 Ru 0.500 0.000 0.000
15 O 0.809 0.820 0.934
16 Cs 0.563 0.500 0.873

---

DFT (GGA-PBE) results for an optimized crystal structure of Ac4PmPr4.

For the formation energy, the calculation gives 0.030 eV/atom. As for the space group: No. 139.

a = 5.411 Å, b = 8.577 Å, c = 8.577 Å
α = 84.29°, β = 71.61°, γ = 71.61°
Sites, in units of the cell vectors:
1 Pr 0.338 0.662 0.662
2 Ac 0.666 0.668 0.000
3 Ac 0.334 0.000 0.332
4 Pr 0.662 0.338 0.338
5 Ac 0.334 0.332 0.000
6 Pm 0.000 0.000 0.000
7 Pr 0.000 0.338 0.662
8 Ac 0.666 0.000 0.668
9 Pr 0.000 0.662 0.338

---

DFT (GGA-PBE) results for an optimized crystal structure of Dy2Er2Th3.

For the formation energy, the calculation gives 0.133 eV/atom. As for the space group: No. 12. As for the energy above the lowest structure with this stoichiometry: 0.00 eV per formula unit.

a = 3.469 Å, b = 8.401 Å, c = 8.859 Å
α = 116.79°, β = 101.29°, γ = 90.00°
Sites, in units of the cell vectors:
1 Er 0.432 0.096 0.864
2 Er 0.568 0.904 0.136
3 Dy 0.146 0.331 0.293
4 Th 0.212 0.794 0.424
5 Th 0.000 0.500 0.000
6 Dy 0.854 0.669 0.707
7 Th 0.788 0.206 0.576

---

DFT (GGA-PBE) results for an optimized crystal structure of CaNiHSe2.

As for the space group: No. 123.

a = 4.900 Å, b = 4.900 Å, c = 3.555 Å
α = 90.00°, β = 90.00°, γ = 90.00°
Sites, in units of the cell vectors:
1 H 0.000 0.000 0.500
2 Se 0.000 0.500 0.000
3 Ni 0.000 0.000 0.000
4 Ca 0.500 0.500 0.500
5 Se 0.500 0.000 0.000

---

DFT (GGA-PBE) results for an optimized crystal structure of Lu4CdPd.

For the formation energy, the calculation gives -0.472 eV/atom. As for the space group: No. 216.

a = 9.480 Å, b = 9.480 Å, c = 9.480 Å
α = 60.00°, β = 60.00°, γ = 60.00°
Sites, in units of the cell vectors:
1 Lu 0.062 0.062 0.438
2 Lu 0.438 0.062 0.438
3 Lu 0.816 0.816 0.184
4 Lu 0.816 0.184 0.184
5 Lu 0.062 0.438 0.062
6 Pd 0.814 0.395 0.395
7 Lu 0.185 0.605 0.605
8 Pd 0.395 0.814 0.395
9 Cd 0.833 0.501 0.833
10 Lu 0.605 0.185 0.605
11 Lu 0.438 0.438 0.062
12 Pd 0.395 0.395 0.395
13 Lu 0.816 0.184 0.816
14 Cd 0.833 0.833 0.833
15 Lu 0.438 0.062 0.062
16 Cd 0.501 0.833 0.833
17 Pd 0.395 0.395 0.814
18 Lu 0.605 0.605 0.185
19 Cd 0.833 0.833 0.501
20 Lu 0.605 0.605 0.605
21 Lu 0.062 0.438 0.438
22 Lu 0.184 0.816 0.816
23 Lu 0.184 0.184 0.816
24 Lu 0.184 0.816 0.184

---

DFT (GGA-PBE) results for an optimized crystal structure of Cr2GaCo5Tc2.

For the formation energy, the calculation gives 0.108 eV/atom. As for the space group: No. 127.

a = 3.758 Å, b = 8.061 Å, c = 8.061 Å
α = 90.00°, β = 90.00°, γ = 90.00°
Sites, in units of the cell vectors:
1 Co 0.500 0.074 0.799
2 Co 0.500 0.299 0.574
3 Co 0.500 0.000 0.500
4 Ga 0.000 0.000 0.000
5 Co 0.500 0.926 0.201
6 Tc 0.000 0.836 0.664
7 Cr 0.000 0.868 0.368
8 Cr 0.000 0.632 0.868
9 Co 0.500 0.500 0.000
10 Tc 0.000 0.664 0.164
11 Ga 0.000 0.500 0.500
12 Co 0.500 0.799 0.926
13 Cr 0.000 0.368 0.132
14 Co 0.500 0.201 0.074
15 Tc 0.000 0.336 0.836
16 Co 0.500 0.426 0.299
17 Co 0.500 0.701 0.426
18 Cr 0.000 0.132 0.632
19 Tc 0.000 0.164 0.336
20 Co 0.500 0.574 0.701

---

no.,total energy (eV per atom)
1,-4.574
2,-4.214
3,-3.233
4,-6.934
5,-5.415
6,-8.297
7,-9.701
8,-8.607
9,-10.048
10,-8.974
11,-0.837
12,-4.182
13,-2.270
14,-4.504
15,-4.695
16,-6.941
17,-4.814
18,-5.077
19,-4.448
20,-5.666
21,-4.254
22,-4.504
23,-7.745